Arrangement w

A plane-wave DFT calculation with PBE-GGA was carried out for Zn3PI after structural relaxation.

POSCAR file:
```
Zn3PI
1.0
5.273 0.000 0.000
0.000 5.273 0.000
0.000 0.000 5.273
Zn P I
3 1 1
direct
0.000 0.000 0.500
0.000 0.500 0.000
0.500 0.000 0.000
0.500 0.500 0.500
0.000 0.000 0.000
```

Properties
Spin magnetization, μB per atom: 0.000
Volume, Å³/cell: 146.58
N(E_F), states/eV per atom: 0.3765
Crystal system: cubic



Arrangement x

A plane-wave DFT calculation with PBE-GGA was carried out for Zn3PI after structural relaxation.

POSCAR file:
```
Zn3PI
1.0
4.899 0.000 0.000
0.000 4.899 0.000
0.000 0.000 4.899
Zn P I
3 1 1
direct
0.000 0.000 0.500
0.000 0.500 0.000
0.500 0.000 0.000
0.000 0.000 0.000
0.500 0.500 0.500
```

Properties
Spin magnetization, μB per atom: 0.000
Volume, Å³/cell: 117.56
N(E_F), states/eV per atom: 0.2407
Crystal system: cubic



How far above the most stable structure does each one sit? In meV/atom: arrangement w 1091; arrangement x 0.



Arrangement w

A plane-wave DFT calculation with PBE-GGA was carried out for ZrP3I after structural relaxation.

POSCAR file:
```
ZrP3I
1.0
5.095 0.000 0.000
0.000 5.095 0.000
0.000 0.000 5.095
Zr P I
1 3 1
direct
0.000 0.000 0.000
0.000 0.000 0.500
0.000 0.500 0.000
0.500 0.000 0.000
0.500 0.500 0.500
```

Properties
Spin magnetization, μB per atom: 0.000
Volume, Å³/cell: 132.26
N(E_F), states/eV per atom: 0.5142
Crystal system: cubic



Arrangement x

A plane-wave DFT calculation with PBE-GGA was carried out for ZrP3I after structural relaxation.

POSCAR file:
```
ZrP3I
1.0
4.947 0.000 0.000
0.000 4.947 0.000
0.000 0.000 4.947
Zr P I
1 3 1
direct
0.000 0.000 0.000
0.000 0.500 0.500
0.500 0.000 0.500
0.500 0.500 0.000
0.500 0.500 0.500
```

Properties
Spin magnetization, μB per atom: 0.000
Volume, Å³/cell: 121.04
N(E_F), states/eV per atom: 0.4455
Crystal system: cubic



How far above the most stable structure does each one sit? In meV/atom: arrangement w 0; arrangement x 814.



Arrangement w

A plane-wave DFT calculation with PBE-GGA was carried out for ZrP2I after structural relaxation.

POSCAR file:
```
ZrP2I
1.0
-3.087 3.087 6.668
3.087 -3.087 6.668
3.087 3.087 -6.668
Zr P I
2 4 2
direct
0.000 0.000 0.000
0.750 0.250 0.500
0.050 0.625 0.925
0.375 0.300 0.425
0.700 0.125 0.075
0.875 0.950 0.575
0.250 0.750 0.500
0.500 0.500 0.000
```

Properties
Spin magnetization, μB per atom: 0.000
Volume, Å³/cell: 254.15
N(E_F), states/eV per atom: 0.7127
Crystal system: tetragonal



Arrangement x

A plane-wave DFT calculation with PBE-GGA was carried out for ZrP2I after structural relaxation.

POSCAR file:
```
ZrP2I
1.0
0.000 3.411 3.411
3.411 0.000 3.411
3.411 3.411 0.000
Zr P I
1 2 1
direct
0.000 0.000 0.000
0.250 0.250 0.250
0.750 0.750 0.750
0.500 0.500 0.500
```

Properties
Spin magnetization, μB per atom: 0.000
Volume, Å³/cell: 79.40
N(E_F), states/eV per atom: 1.1742
Crystal system: cubic



How far above the most stable structure does each one sit? In meV/atom: arrangement w 0; arrangement x 128.



Arrangement w

A plane-wave DFT calculation with PBE-GGA was carried out for PaI5 after structural relaxation.

POSCAR file:
```
PaI5
1.0
2.437 -7.667 0.000
2.437 7.667 0.000
0.000 0.000 5.971
Pa I
1 5
direct
0.000 0.000 0.000
0.151 0.849 0.500
0.365 0.635 0.000
0.500 0.500 0.500
0.635 0.365 0.000
0.849 0.151 0.500
```

Properties
Spin magnetization, μB per atom: 0.184
Volume, Å³/cell: 223.17
N(E_F), states/eV per atom: 1.6053
Crystal system: orthorhombic



Arrangement x

A plane-wave DFT calculation with PBE-GGA was carried out for PaI5 after structural relaxation.

POSCAR file:
```
PaI5
1.0
-5.241 5.241 3.069
5.241 -5.241 3.069
5.241 5.241 -3.069
Pa I
1 5
direct
0.000 0.000 0.000
0.066 0.731 0.798
0.269 0.066 0.335
0.500 0.500 0.000
0.731 0.934 0.665
0.934 0.269 0.202
```

Properties
Spin magnetization, μB per atom: 0.000
Volume, Å³/cell: 337.19
Crystal system: tetragonal



How far above the most stable structure does each one sit? In meV/atom: arrangement w 612; arrangement x 0.